Density functional theory data (GGA-PBE) for a geometry-optimized SrCoMo3 structure.

Calculated values
* magnetic moment: 0.00 μB/f.u.
* ΔE to the lowest computed polymorph: 2.1717 eV per atom

a = 4.6699 Å, b = 4.6699 Å, c = 4.6699 Å
α = 90.00°, β = 90.00°, γ = 90.00°
With the nearest neighbours (Å) after each atom.
Fractional coordinates of all 5 atoms:
Mo (0.0000, 0.5000, 0.0000)  2 Sr 2.33
Co (0.5000, 0.5000, 0.5000)  12 Mo 3.30
Sr (0.0000, 0.0000, 0.0000)  6 Mo 2.33
Mo (0.5000, 0.0000, 0.0000)  2 Sr 2.33
Mo (0.0000, 0.0000, 0.5000)  2 Sr 2.33

=====

Density functional theory data (GGA-PBE) for a geometry-optimized SrCoMo2 structure.

Calculated values
* magnetic moment: 1.45 μB/f.u.
* ΔE to the lowest computed polymorph: 0.2012 eV per atom

a = 2.8164 Å, b = 2.8164 Å, c = 9.0728 Å
α = 90.00°, β = 90.00°, γ = 90.00°
With the nearest neighbours (Å) after each atom.
Fractional coordinates of all 4 atoms:
Sr (0.5000, 0.5000, 0.2500)  4 Sr 2.82
Mo (0.0000, 0.0000, 0.5636)  4 Co 2.61, 4 Mo 2.82
Co (0.5000, 0.5000, 0.7500)  8 Mo 2.61, 4 Co 2.82
Mo (0.0000, 0.0000, 0.9364)  4 Co 2.61, 4 Mo 2.82

=====

Density functional theory data (GGA-PBE) for a geometry-optimized SrCoMo2 structure.

Calculated values
* magnetic moment: 0.00 μB/f.u.
* ΔE to the lowest computed polymorph: 0.1275 eV per atom

a = 6.0987 Å, b = 6.0987 Å, c = 6.0987 Å
α = 154.15°, β = 132.34°, γ = 55.01°
With the nearest neighbours (Å) after each atom.
Fractional coordinates of all 4 atoms:
Mo (0.0471, 0.0471, 0.0000)  2 Co 2.58, 2 Mo 2.73
Sr (0.7500, 0.2500, 0.5000)  2 Sr 2.73, 4 Co 2.82
Co (0.2500, 0.7500, 0.5000)  4 Mo 2.58, 2 Co 2.73, 4 Sr 2.82
Mo (0.4529, 0.4529, 0.0000)  2 Co 2.58, 2 Mo 2.73

=====

Density functional theory data (GGA-PBE) for a geometry-optimized SrCoMo2 structure.

Calculated values
* magnetic moment: 0.84 μB/f.u.
* ΔE to the lowest computed polymorph: 0.4213 eV per atom

a = 3.1239 Å, b = 4.4695 Å, c = 5.1755 Å
α = 90.00°, β = 90.00°, γ = 90.00°
With the nearest neighbours (Å) after each atom.
Fractional coordinates of all 4 atoms:
Sr (0.5000, 0.0000, 0.5000)  4 Co 2.73, 4 Mo 3.02
Mo (0.0000, 0.0000, 0.0000)  4 Mo 2.73, 4 Sr 3.02
Co (0.0000, 0.5000, 0.5000)  4 Sr 2.73, 4 Mo 3.02
Mo (0.5000, 0.5000, 0.0000)  4 Mo 2.73, 4 Co 3.02

=====

Density functional theory data (GGA-PBE) for a geometry-optimized SrCoMo structure.

Calculated values
* magnetic moment: 0.18 μB/f.u.
* ΔE to the lowest computed polymorph: 0.6773 eV per atom

a = 6.3653 Å, b = 6.3653 Å, c = 6.3653 Å
α = 90.00°, β = 90.00°, γ = 90.00°
With the nearest neighbours (Å) after each atom.
Fractional coordinates of all 12 atoms:
Sr (0.5000, 0.0000, 0.0000)  4 Co 2.76
Sr (0.0000, 0.0000, 0.5000)  4 Co 2.76
Sr (0.5000, 0.5000, 0.5000)  4 Co 2.76
Co (0.2500, 0.7500, 0.2500)  4 Sr 2.76, 4 Mo 2.76
Mo (0.5000, 0.0000, 0.5000)  4 Co 2.76
Co (0.2500, 0.2500, 0.7500)  4 Sr 2.76, 4 Mo 2.76
Mo (0.0000, 0.5000, 0.5000)  4 Co 2.76
Mo (0.0000, 0.0000, 0.0000)  4 Co 2.76
Co (0.7500, 0.7500, 0.7500)  4 Mo 2.76, 4 Sr 2.76
Sr (0.0000, 0.5000, 0.0000)  4 Co 2.76
Mo (0.5000, 0.5000, 0.0000)  4 Co 2.76
Co (0.7500, 0.2500, 0.2500)  4 Mo 2.76, 4 Sr 2.76

=====

Density functional theory data (GGA-PBE) for a geometry-optimized SrCoMo2 structure.

Calculated values
* magnetic moment: 1.24 μB/f.u.
* ΔE to the lowest computed polymorph: 0.8304 eV per atom

a = 4.9348 Å, b = 4.9348 Å, c = 2.8739 Å
α = 90.00°, β = 90.00°, γ = 90.00°
With the nearest neighbours (Å) after each atom.
Fractional coordinates of all 4 atoms:
Co (0.0000, 0.5000, 0.5000)  8 Mo 2.86, 2 Co 2.87
Mo (0.0000, 0.0000, 0.0000)  4 Co 2.86, 4 Sr 2.86, 2 Mo 2.87
Sr (0.5000, 0.0000, 0.5000)  8 Mo 2.86, 2 Sr 2.87
Mo (0.5000, 0.5000, 0.0000)  4 Co 2.86, 4 Sr 2.86, 2 Mo 2.87

=====

Density functional theory data (GGA-PBE) for a geometry-optimized SrCoMo2 structure.

Calculated values
* magnetic moment: 0.85 μB/f.u.
* ΔE to the lowest computed polymorph: 0.3805 eV per atom

a = 5.4986 Å, b = 5.4986 Å, c = 5.4986 Å
α = 146.27°, β = 122.14°, γ = 68.67°
With the nearest neighbours (Å) after each atom.
Fractional coordinates of all 4 atoms:
Co (0.2172, 0.7172, 0.5000)  2 Mo 2.55
Mo (0.9982, 0.9982, 0.0000)  2 Mo 2.48, 2 Co 2.55
Mo (0.7897, 0.2897, 0.5000)  2 Mo 2.48
Sr (0.4949, 0.4949, 0.0000)  4 Co 2.98-3.34, 8 Mo 3.10-3.25, 2 Sr 3.19

=====

Density functional theory data (GGA-PBE) for a geometry-optimized SrCoMo2 structure.

Calculated values
* magnetic moment: 0.81 μB/f.u.
* ΔE to the lowest computed polymorph: 0.4338 eV per atom

a = 10.2193 Å, b = 10.2193 Å, c = 10.2193 Å
α = 15.98°, β = 15.98°, γ = 15.98°
With the nearest neighbours (Å) after each atom.
Fractional coordinates of all 4 atoms:
Mo (0.4846, 0.4846, 0.4846)  3 Co 2.63, 6 Mo 2.84
Mo (0.0154, 0.0154, 0.0154)  3 Co 2.63, 6 Mo 2.84
Sr (0.2500, 0.2500, 0.2500)  6 Sr 2.84
Co (0.7500, 0.7500, 0.7500)  6 Mo 2.63, 6 Co 2.84

=====

Formation energy from the elements values, unit eV/atom, following the record order: 3.371 0.770 0.696 0.990 1.232 1.399 0.949 1.003.
Density values, unit g cm⁻³, following the record order: 7.1 7.8 7.7 7.8 6.2 8.0 7.3 8.0.
DOS(E_F) values, unit states/eV/cell, following the record order: 9.18 4.93 3.50 5.53 18.45 4.99 4.40 6.22.